No. 1
Nd2As3Rh5: relaxed, PBE.

Calculated values
DOS(E_F) ... 6.74 states/eV/f.u.
Formation energy from the elements ... -7.4 eV/f.u.

Cell lengths 12.8297, 12.8297, 6.7599 Å; angles 90.00, 90.00, 161.16 degrees
Closest atoms and distances in Å follow each position.
Positions (direct):
Nd: 0.0177 0.9823 0.5000  5 As 2.88-3.10, 3 Rh 3.08-3.09
Nd: 0.3226 0.6774 0.4572  9 Rh 2.95-3.25, 3 As 3.05-3.20
Nd: 0.6774 0.3226 0.9572  9 Rh 2.95-3.25, 3 As 3.05-3.20
Nd: 0.9823 0.0177 0.0000  5 As 2.88-3.10, 3 Rh 3.08-3.09
As: 0.1114 0.8886 0.7425  4 Rh 2.43-2.62
As: 0.2789 0.7211 0.9021  6 Rh 2.46-2.58
As: 0.4473 0.5527 0.7119  4 Rh 2.47-2.52
As: 0.5527 0.4473 0.2119  4 Rh 2.47-2.52
As: 0.7211 0.2789 0.4021  6 Rh 2.46-2.58
As: 0.8886 0.1114 0.2425  4 Rh 2.43-2.62
Rh: 0.0991 0.9009 0.1277  3 As 2.47-2.62
Rh: 0.2008 0.7992 0.6108  3 As 2.43-2.58
Rh: 0.2265 0.7735 0.2095  3 As 2.46-2.48
Rh: 0.3760 0.6240 0.9714  2 As 2.50-2.52
Rh: 0.4390 0.5610 0.3411  3 As 2.52-2.55
Rh: 0.5610 0.4390 0.8411  3 As 2.52-2.55
Rh: 0.6240 0.3760 0.4714  2 As 2.50-2.52
Rh: 0.7735 0.2265 0.7095  3 As 2.46-2.48
Rh: 0.7992 0.2008 0.1108  3 As 2.43-2.58
Rh: 0.9009 0.0991 0.6277  3 As 2.47-2.62

---

No. 2
NaGdTlZn: relaxed, PBE.

Calculated values
DOS(E_F) ... 1.95 states/eV/f.u.
Formation energy from the elements ... -0.6 eV/f.u.

Cell lengths 7.3406, 7.3406, 7.3406 Å; angles 90.00, 90.00, 90.00 degrees
Closest atoms and distances in Å follow each position.
Positions (direct):
Na: 0.0000 0.0000 0.0000  4 Tl 3.18, 4 Zn 3.18
Na: 0.0000 0.5000 0.5000  4 Tl 3.18, 4 Zn 3.18
Na: 0.5000 0.0000 0.5000  4 Tl 3.18, 4 Zn 3.18
Na: 0.5000 0.5000 0.0000  4 Tl 3.18, 4 Zn 3.18
Gd: 0.0000 0.0000 0.5000  4 Zn 3.18, 4 Tl 3.18
Gd: 0.0000 0.5000 0.0000  4 Zn 3.18, 4 Tl 3.18
Gd: 0.5000 0.0000 0.0000  4 Zn 3.18, 4 Tl 3.18
Gd: 0.5000 0.5000 0.5000  4 Zn 3.18, 4 Tl 3.18
Tl: 0.2500 0.2500 0.7500  4 Gd 3.18, 4 Na 3.18
Tl: 0.2500 0.7500 0.2500  4 Gd 3.18, 4 Na 3.18
Tl: 0.7500 0.2500 0.2500  4 Gd 3.18, 4 Na 3.18
Tl: 0.7500 0.7500 0.7500  4 Gd 3.18, 4 Na 3.18
Zn: 0.2500 0.2500 0.2500  4 Na 3.18, 4 Gd 3.18
Zn: 0.2500 0.7500 0.7500  4 Na 3.18, 4 Gd 3.18
Zn: 0.7500 0.2500 0.7500  4 Na 3.18, 4 Gd 3.18
Zn: 0.7500 0.7500 0.2500  4 Na 3.18, 4 Gd 3.18

---

No. 3
HfPbO4: relaxed, PBE.

Calculated values
Energy relative to the lowest polymorph listed for this composition ... 0.00 kJ per mole of atoms
Raw formation energy ... -2145 meV per atom

Cell lengths 5.9754, 5.9754, 5.9754 Å; angles 108.43, 108.43, 111.58 degrees
Closest atoms and distances in Å follow each position.
Positions (direct):
Hf: 0.0000 0.0000 0.0000  6 O 2.09-2.11
Hf: 0.7500 0.2500 0.5000  6 O 2.09-2.11
Pb: 0.2429 0.7429 0.5000  6 O 2.16-2.23
Pb: 0.4929 0.4929 0.0000  6 O 2.16-2.23
O: 0.0348 0.2329 0.8019  2 Hf 2.09-2.11, 1 Pb 2.23
O: 0.4310 0.2329 0.1981  2 Hf 2.09-2.11, 1 Pb 2.23
O: 0.5067 0.1980 0.6913  1 Hf 2.11, 2 Pb 2.16-2.22
O: 0.5067 0.8154 0.3087  1 Hf 2.11, 2 Pb 2.16-2.22
O: 0.5654 0.7567 0.8087  1 Hf 2.11, 2 Pb 2.16-2.22
O: 0.9480 0.7567 0.1913  1 Hf 2.11, 2 Pb 2.16-2.22
O: 0.9829 0.2848 0.3019  2 Hf 2.09-2.11, 1 Pb 2.23
O: 0.9829 0.6810 0.6981  2 Hf 2.09-2.11, 1 Pb 2.23

---

No. 4
TcAs2Ru: relaxed, PBE.

Calculated values
DOS(E_F) ... 5.89 states/eV/f.u.
Energy relative to the lowest polymorph listed for this composition ... 57.36 kJ per mole of atoms
Formation energy from the elements ... 1.9 eV/f.u.

Cell lengths 6.2880, 6.2880, 6.2880 Å; angles 90.00, 90.00, 90.00 degrees
Closest atoms and distances in Å follow each position.
Positions (direct):
Tc: 0.0000 0.0000 0.0000  4 As 2.72, 4 Ru 2.72
Tc: 0.0000 0.5000 0.5000  4 As 2.72, 4 Ru 2.72
Tc: 0.5000 0.0000 0.5000  4 As 2.72, 4 Ru 2.72
Tc: 0.5000 0.5000 0.0000  4 As 2.72, 4 Ru 2.72
As: 0.0000 0.0000 0.5000  4 Ru 2.72, 4 As 2.72
As: 0.0000 0.5000 0.0000  4 Ru 2.72, 4 As 2.72
As: 0.2500 0.2500 0.7500  4 As 2.72, 4 Tc 2.72
As: 0.2500 0.7500 0.2500  4 As 2.72, 4 Tc 2.72
As: 0.5000 0.0000 0.0000  4 Ru 2.72, 4 As 2.72
As: 0.5000 0.5000 0.5000  4 Ru 2.72, 4 As 2.72
As: 0.7500 0.2500 0.2500  4 As 2.72, 4 Tc 2.72
As: 0.7500 0.7500 0.7500  4 As 2.72, 4 Tc 2.72
Ru: 0.2500 0.2500 0.2500  4 As 2.72, 4 Tc 2.72
Ru: 0.2500 0.7500 0.7500  4 As 2.72, 4 Tc 2.72
Ru: 0.7500 0.2500 0.7500  4 As 2.72, 4 Tc 2.72
Ru: 0.7500 0.7500 0.2500  4 As 2.72, 4 Tc 2.72

---

No. 5
LiGaC: relaxed, PBE.

Calculated values
DOS(E_F) ... 0.49 states/eV/f.u.
Formation energy from the elements ... 0.6 eV/f.u.

Cell lengths 3.1611, 3.8695, 8.0185 Å; angles 90.19, 90.53, 112.49 degrees
Closest atoms and distances in Å follow each position.
Positions (direct):
Li: 0.0000 0.0000 0.0000  2 C 2.21-2.23
Li: 0.2305 0.4935 0.7361  6 C 2.20-2.25
Ga: 0.0053 0.0392 0.4638  2 C 2.16-2.18
Ga: 0.3184 0.5956 0.2563  3 Ga 2.61-2.83
C: 0.5380 0.0888 0.6485  1 C 1.29
C: 0.5400 0.0876 0.8094  1 C 1.29

---

No. 6
Pm4Sb3Te: relaxed, PBE.

Calculated values
DOS(E_F) ... 3.90 states/eV/f.u.
Energy relative to the lowest polymorph listed for this composition ... 0.72 kJ per mole of atoms
Raw formation energy ... -1270 meV per atom

Cell lengths 6.3435, 6.3435, 6.3435 Å; angles 90.00, 90.00, 90.00 degrees
Closest atoms and distances in Å follow each position.
Positions (direct):
Pm: 0.0000 0.0000 0.0000  6 Sb 3.17
Pm: 0.0000 0.5000 0.5000  2 Te 3.17, 4 Sb 3.17
Pm: 0.5000 0.0000 0.5000  2 Te 3.17, 4 Sb 3.17
Pm: 0.5000 0.5000 0.0000  2 Te 3.17, 4 Sb 3.17
Sb: 0.0000 0.0000 0.5000  6 Pm 3.17
Sb: 0.0000 0.5000 0.0000  6 Pm 3.17
Sb: 0.5000 0.0000 0.0000  6 Pm 3.17
Te: 0.5000 0.5000 0.5000  6 Pm 3.17

---

No. 7
BaLi6In6: relaxed, PBE.

Calculated values
DOS(E_F) ... 4.52 states/eV/f.u.
Formation energy from the elements ... -3.9 eV/f.u.

Cell lengths 7.7210, 7.7210, 7.7210 Å; angles 136.23, 98.07, 97.90 degrees
Closest atoms and distances in Å follow each position.
Positions (direct):
Ba: 0.0000 0.0000 0.0000  8 In 3.56-3.62, 12 Li 3.72-3.86
Li: 0.0000 0.0000 0.5000  4 Li 2.88-2.92, 6 In 2.93-3.10
Li: 0.0000 0.5000 0.0000  4 Li 2.88-2.92, 6 In 2.93-3.10
Li: 0.2331 0.7331 0.5000  4 Li 2.92, 6 In 3.08-3.23
Li: 0.5000 0.0000 0.0000  4 Li 2.88-2.92, 6 In 2.93-3.10
Li: 0.5000 0.5000 0.5000  4 Li 2.88-2.92, 6 In 2.93-3.10
Li: 0.7669 0.2669 0.5000  4 Li 2.92, 6 In 3.08-3.23
In: 0.2173 0.5000 0.7173  6 Li 2.93-3.23, 4 In 3.19-3.24
In: 0.3511 0.3511 0.0000  3 In 3.02-3.24, 6 Li 3.09-3.12
In: 0.3540 0.0000 0.3540  3 In 2.96-3.19, 6 Li 3.08-3.10
In: 0.6460 0.0000 0.6460  3 In 2.96-3.19, 6 Li 3.08-3.10
In: 0.6489 0.6489 0.0000  3 In 3.02-3.24, 6 Li 3.09-3.12
In: 0.7827 0.5000 0.2827  6 Li 2.93-3.23, 4 In 3.19-3.24

---

No. 8
Al2ZnGa2: relaxed, PBE.

Calculated values
DOS(E_F) ... 1.63 states/eV/f.u.
Energy relative to the lowest polymorph listed for this composition ... 5.38 kJ per mole of atoms
Formation energy from the elements ... 0.7 eV/f.u.

Cell lengths 4.1121, 4.1121, 11.2854 Å; angles 90.00, 90.00, 90.00 degrees
Closest atoms and distances in Å follow each position.
Positions (direct):
Al: 0.0000 0.5000 0.2500  4 Ga 2.62, 4 Al 2.91
Al: 0.0000 0.5000 0.7500  4 Ga 2.62, 4 Al 2.91
Al: 0.5000 0.0000 0.2500  4 Ga 2.62, 4 Al 2.91
Al: 0.5000 0.0000 0.7500  4 Ga 2.62, 4 Al 2.91
Zn: 0.0000 0.0000 0.0000  8 Ga 3.15, 8 Al 3.49
Zn: 0.5000 0.5000 0.5000  8 Ga 3.15, 8 Al 3.49
Ga: 0.0000 0.0000 0.3934  1 Ga 2.41, 4 Al 2.62
Ga: 0.0000 0.0000 0.6066  1 Ga 2.41, 4 Al 2.62
Ga: 0.5000 0.5000 0.1066  1 Ga 2.41, 4 Al 2.62
Ga: 0.5000 0.5000 0.8934  1 Ga 2.41, 4 Al 2.62

---

No. 9
CsPmTcO6: relaxed, PBE.

Calculated values
Raw formation energy ... -1781 meV per atom

Cell lengths 5.9064, 5.9656, 6.1837 Å; angles 89.89, 89.82, 60.36 degrees
Closest atoms and distances in Å follow each position.
Positions (direct):
Cs: 0.0000 0.0000 0.0000  6 O 3.16-3.21
Pm: 0.6799 0.6395 0.4999  6 O 2.28-2.37
Tc: 0.3183 0.3626 0.4993  6 O 1.85-1.97
O: 0.0529 0.5524 0.6930  1 Tc 1.85
O: 0.0544 0.3967 0.3093  1 Tc 1.88
O: 0.3692 0.0454 0.6410  1 Tc 1.97, 1 O 2.16
O: 0.3947 0.5522 0.3059  1 Tc 1.85
O: 0.5488 0.3952 0.6894  1 Tc 1.88
O: 0.5830 0.0454 0.3570  1 Tc 1.97, 1 O 2.16

---

No. 10
Mn2Ir: relaxed, PBE.

Calculated values
DOS(E_F) ... 2.73 states/eV/f.u.
Formation energy from the elements ... -0.4 eV/f.u.

Cell lengths 2.6222, 13.4512, 4.1066 Å; angles 90.00, 90.00, 90.00 degrees
Closest atoms and distances in Å follow each position.
Positions (direct):
Mn: 0.0000 0.0557 0.2500  6 Mn 2.54-2.62, 6 Ir 2.55-2.60
Mn: 0.0000 0.2774 0.7500  4 Ir 2.54-2.59, 8 Mn 2.55-2.62
Mn: 0.0000 0.7226 0.2500  4 Ir 2.54-2.59, 8 Mn 2.55-2.62
Mn: 0.0000 0.9443 0.7500  6 Mn 2.54-2.62, 6 Ir 2.55-2.60
Mn: 0.5000 0.2226 0.2500  4 Ir 2.54-2.59, 8 Mn 2.55-2.62
Mn: 0.5000 0.4443 0.7500  6 Mn 2.54-2.62, 6 Ir 2.55-2.60
Mn: 0.5000 0.5557 0.2500  6 Mn 2.54-2.62, 6 Ir 2.55-2.60
Mn: 0.5000 0.7774 0.7500  4 Ir 2.54-2.59, 8 Mn 2.55-2.62
Ir: 0.0000 0.3886 0.2500  10 Mn 2.54-2.60, 2 Ir 2.62
Ir: 0.0000 0.6114 0.7500  10 Mn 2.54-2.60, 2 Ir 2.62
Ir: 0.5000 0.1114 0.7500  10 Mn 2.54-2.60, 2 Ir 2.62
Ir: 0.5000 0.8886 0.2500  10 Mn 2.54-2.60, 2 Ir 2.62

---

Number 1: DFT total energy -6.77 eV per atom. Number 2: DFT total energy -4.92 eV per atom. Number 3: DFT total energy -7.73 eV per atom. Number 4: DFT total energy -6.76 eV per atom. Number 5: DFT total energy -4.51 eV per atom. Number 6: DFT total energy -5.58 eV per atom. Number 7: DFT total energy -2.60 eV per atom. Number 8: DFT total energy -2.82 eV per atom. Number 9: DFT total energy -6.86 eV per atom. Number 10: DFT total energy -9.20 eV per atom.